Entry from Alexandria: crystalline MnGePN at its relaxed geometry (PBE).

The structure belongs to space group Cm (No. 8); the cell edges are 8.103, 2.996 and 5.180 Å and the angles 90.00°, 128.36° and 90.00°. The inequivalent atoms are Mn at (0.000, 0.000, 0.000), Ge at (0.291, 0.500, 0.392), P at (0.218, 0.000, 0.806) and N at (0.024, 0.000, 0.392).

Its raw formation energy is -0.04 eV per formula unit. For the total energy, the calculation gives -6.89 eV per atom. The value obtained for the density of states at the Fermi level is 0.384 states/eV/atom.